ErGa5Co3: relaxed, PBE-GGA.

Summary:
VASP energy	-4.748	eV per atom
magnetization	0.00	μB/cell
DFT formation energy	-1.7	eV/f.u.

Cell: 6.229 6.229 11.059 Å, 60.83 60.83 86.89°
Fractional positions:
Ga 0.044 0.582 0.659
Ga 0.321 0.321 0.434
Ga 0.724 0.276 0.000
Ga 0.956 0.418 0.341
Ga 0.418 0.956 0.341
Ga 0.679 0.679 0.566
Ga 0.276 0.724 0.000
Ga 0.338 0.338 0.859
Ga 0.662 0.662 0.141
Ga 0.582 0.044 0.659
Co 0.646 0.646 0.367
Co 0.000 0.000 0.000
Co 0.000 0.000 0.500
Co 0.371 0.371 0.180
Co 0.629 0.629 0.820
Co 0.354 0.354 0.633
Er 0.967 0.967 0.781
Er 0.033 0.033 0.219